Entry from OQMD via LeMat-Bulk: a relaxed structure of BiAsPd (PBE).

abc: 6.5116 6.5116 6.5116
angles: 90.00 90.00 90.00
Closest atoms and distances in Å follow each position.
Space group F-43m (No. 216)
Unique sites:
Bi  0.0000  0.0000  0.0000 x4  4 Pd 2.82
As  0.0000  0.0000  0.5000 x4  4 Pd 2.82
Pd  0.2500  0.2500  0.7500 x4  4 As 2.82, 4 Bi 2.82

## Properties
As for the density: 9.390 g/cm3. The total energy comes out at -4.829 eV/atom.

---

Entry from OQMD via LeMat-Bulk: a relaxed structure of Te2W (PBE).

abc: 3.5593 3.5593 21.8454
angles: 90.00 90.00 120.00
Closest atoms and distances in Å follow each position.
Space group R3m (No. 160, hexagonal axes)
Unique sites:
Te  0.0000  0.0000  0.0000 x3  3 W 2.74
Te  0.0000  0.0000  0.1665 x3  3 W 2.74
W  0.0000  0.0000  0.7499 x3  6 Te 2.74

## Properties
As for the density: 9.125 g/cm3. The value obtained for the magnetization is 0.0 μB per formula unit. The total energy comes out at -6.490 eV/atom.

---

Entry from OQMD via LeMat-Bulk: a relaxed structure of YMgCd2 (PBE).

abc: 7.1238 10.7093 4.9046
angles: 90.00 90.00 90.00
Closest atoms and distances in Å follow each position.
Space group Cmcm (No. 63)
Unique sites:
Y  0.0000  0.1342  0.2500 x4  8 Cd 3.19-3.25, 2 Mg 3.29
Mg  0.0000  0.3384  0.7500 x4  8 Cd 2.98-3.25, 2 Y 3.29
Cd  0.2185  0.4004  0.2500 x8  4 Mg 2.98-3.25, 3 Cd 3.11-3.25, 4 Y 3.19-3.25

## Properties
As for the density: 6.001 g/cm3. The value obtained for the magnetization is 0.0 μB per formula unit. The total energy comes out at -2.749 eV/atom.

---

Entry from OQMD via LeMat-Bulk: a relaxed structure of ZnCuOsW (PBE).

abc: 6.0995 6.0995 6.0995
angles: 90.00 90.00 90.00
Closest atoms and distances in Å follow each position.
Space group F-43m (No. 216)
Unique sites:
Zn  0.0000  0.0000  0.0000 x4  4 Os 2.64, 4 Cu 2.64
Cu  0.2500  0.2500  0.2500 x4  4 W 2.64, 4 Zn 2.64
Os  0.2500  0.2500  0.7500 x4  4 W 2.64, 4 Zn 2.64
W  0.0000  0.0000  0.5000 x4  4 Os 2.64, 4 Cu 2.64

## Properties
As for the density: 14.724 g/cm3. The value obtained for the magnetization is 0.0 μB per formula unit. The total energy comes out at -7.079 eV/atom.

---

Entry from OQMD via LeMat-Bulk: a relaxed structure of Al2Fe3B2 (PBE).

abc: 5.6879 2.8316 8.6863
angles: 90.00 98.37 90.00
Closest atoms and distances in Å follow each position.
Space group P2/m (No. 10)
Unique sites:
Al  0.0991  0.0000  0.1563 x2  2 B 2.23-2.35, 2 Fe 2.40
Al  0.2639  0.0000  0.4881 x2  1 B 2.34, 4 Fe 2.48-2.49
Fe  0.0541  0.5000  0.6582 x2  2 B 2.00
Fe  0.2741  0.5000  0.9514 x2  6 B 2.12-2.20
Fe  0.4618  0.5000  0.2767 x2  4 B 2.10-2.12
B  0.2743  0.0000  0.7582 x2  1 B 1.77
B  0.4698  0.0000  0.0996 x2  2 B 1.77-1.81

## Properties
As for the density: 5.834 g/cm3. The value obtained for the magnetization is 1.6 μB per formula unit. The total energy comes out at -6.967 eV/atom.

---

Entry from OQMD via LeMat-Bulk: a relaxed structure of NaTbTe3Au (PBE).

abc: 4.1763 15.2907 11.1795
angles: 90.00 90.00 90.00
Closest atoms and distances in Å follow each position.
Space group Cmcm (No. 63)
Unique sites:
Na  0.0000  0.2294  0.2500 x4  6 Te 3.27-3.43
Tb  0.0000  0.0000  0.0000 x4  6 Te 3.09-3.14
Te  0.0000  0.0930  0.7500 x4  2 Au 2.80, 2 Tb 3.14
Te  0.0000  0.3568  0.5578 x8  1 Au 2.77, 2 Tb 3.09
Au  0.0000  0.4706  0.7500 x4  4 Te 2.77-2.80

## Properties
As for the density: 7.087 g/cm3. The value obtained for the magnetization is 0.0 μB per formula unit. The total energy comes out at -3.954 eV/atom.

---

Entry from OQMD via LeMat-Bulk: a relaxed structure of Er6GaCo2 (PBE).

abc: 9.1963 9.3811 9.7637
angles: 90.00 90.00 90.00
Closest atoms and distances in Å follow each position.
Space group Immm (No. 71)
Unique sites:
Er  0.0000  0.2014  0.2339 x8  1 Co 2.76, 1 Ga 2.96
Er  0.1949  0.5000  0.1800 x8  3 Co 2.69-2.81
Er  0.2170  0.3160  0.5000 x8  3 Co 2.86-3.11, 1 Ga 3.12
Ga  0.0000  0.0000  0.0000 x2  8 Er 2.96-3.12
Ga  0.0000  0.0000  0.5000 x2  12 Er 3.21-3.57
Co  0.0000  0.3660  0.0000 x4  1 Co 2.51, 6 Er 2.76-2.81
Co  0.0000  0.5000  0.3858 x4  1 Co 2.23

## Properties
As for the density: 9.393 g/cm3. The value obtained for the magnetization is 0.0 μB per formula unit. The total energy comes out at -5.268 eV/atom.

---

Entry from OQMD via LeMat-Bulk: a relaxed structure of Sr2ReO4 (PBE).

abc: 9.7181 9.7181 9.7181
angles: 90.00 90.00 90.00
Closest atoms and distances in Å follow each position.
Space group Fd-3m (No. 227, origin choice 2)
Unique sites:
Sr  0.0000  0.0000  0.0000 x16  6 O 2.55
Re  0.1250  0.1250  0.6250 x8  4 O 1.91
O  0.0117  0.0117  0.7383 x32  1 Re 1.91

## Properties
As for the density: 6.158 g/cm3. The value obtained for the magnetization is 2.0 μB per formula unit. The total energy comes out at -6.929 eV/atom.

---

Entry from OQMD via LeMat-Bulk: a relaxed structure of PrGd2Mg3TlIn2 (PBE).

abc: 4.7164 13.3183 7.5913
angles: 90.00 90.00 90.00
Closest atoms and distances in Å follow each position.
Space group Amm2 (No. 38)
Unique sites:
Pr  0.0000  0.0000  0.0000 x2  4 In 3.31, 1 Tl 3.32, 6 Mg 3.41-3.70
Gd  0.0000  0.2147  0.6445 x4  4 In 3.25-3.26, 1 Tl 3.26, 2 Mg 3.45
Mg  0.5000  0.0000  0.6753 x2  2 Tl 2.97, 2 In 2.97, 2 Mg 3.21
Mg  0.5000  0.1210  0.3093 x4  2 In 2.93-2.95, 2 Tl 3.02, 2 Mg 3.21-3.22
Tl  0.0000  0.0000  0.4375 x2  6 Mg 2.97-3.02, 2 Gd 3.26, 1 Pr 3.32
In  0.5000  0.1699  0.9297 x4  3 Mg 2.93-2.97, 4 Gd 3.25-3.26

## Properties
As for the density: 6.702 g/cm3. The value obtained for the magnetization is 0.0 μB per formula unit. The total energy comes out at -3.344 eV/atom.

---

Entry from OQMD via LeMat-Bulk: a relaxed structure of PaAs2Ir2 (PBE).

abc: 4.2747 4.2747 10.0088
angles: 90.00 90.00 90.00
Closest atoms and distances in Å follow each position.
Space group P4/nmm (No. 129, origin choice 2)
Unique sites:
Pa  0.2500  0.2500  0.2501 x2  8 As 3.23-3.29, 8 Ir 3.27-3.29
As  0.2500  0.2500  0.6360 x2  5 Ir 2.40-2.53
As  0.2500  0.7500  0.0000 x2  4 Ir 2.47
Ir  0.2500  0.2500  0.8756 x2  5 As 2.40-2.47
Ir  0.2500  0.7500  0.5000 x2  4 As 2.53

## Properties
As for the density: 13.897 g/cm3. The value obtained for the magnetization is 0.9 μB per formula unit. The total energy comes out at -7.869 eV/atom.

---

Entry from OQMD via LeMat-Bulk: a relaxed structure of K2ZrPdBr6 (PBE).

abc: 10.9155 10.9155 10.9155
angles: 90.00 90.00 90.00
Closest atoms and distances in Å follow each position.
Space group Fm-3m (No. 225)
Unique sites:
K  0.2500  0.2500  0.2500 x8  12 Br 3.86
Zr  0.0000  0.0000  0.0000 x4  6 Br 2.67
Pd  0.0000  0.0000  0.5000 x4  6 Br 2.79
Br  0.0000  0.0000  0.2446 x24  1 Zr 2.67, 1 Pd 2.79

## Properties
As for the density: 3.857 g/cm3. The value obtained for the magnetization is 0.0 μB per formula unit. The total energy comes out at -3.799 eV/atom.

---

Entry from OQMD via LeMat-Bulk: a relaxed structure of LaNd3As2I2 (PBE).

abc: 4.3051 4.3051 15.4442
angles: 90.00 90.00 120.00
Closest atoms and distances in Å follow each position.
Space group P3m1 (No. 156)
Unique sites:
La  0.0000  0.0000  0.0000 x1  3 As 2.96
Nd  0.0000  0.0000  0.3020 x1  3 As 2.91
Nd  0.3333  0.6667  0.4990 x1  3 As 2.91
Nd  0.3333  0.6667  0.7968 x1  3 As 2.92
As  0.6667  0.3333  0.4006 x1  6 Nd 2.91
As  0.6667  0.3333  0.8954 x1  3 Nd 2.92, 3 La 2.96
I  0.0000  0.0000  0.6478 x1  6 Nd 3.38-3.39
I  0.3333  0.6667  0.1538 x1  3 Nd 3.38, 3 La 3.44

## Properties
As for the density: 6.533 g/cm3. The value obtained for the magnetization is 0.0 μB per formula unit. The total energy comes out at -5.307 eV/atom.

---

Entry from OQMD via LeMat-Bulk: a relaxed structure of YNiMo (PBE).

abc: 6.3541 6.3541 6.3541
angles: 90.00 90.00 90.00
Closest atoms and distances in Å follow each position.
Space group F-43m (No. 216)
Unique sites:
Y  0.0000  0.0000  0.0000 x4  4 Mo 2.75, 4 Ni 2.75
Ni  0.2500  0.2500  0.2500 x4  4 Y 2.75
Mo  0.2500  0.2500  0.7500 x4  4 Y 2.75

## Properties
As for the density: 6.305 g/cm3. The value obtained for the magnetization is 3.0 μB per formula unit. The total energy comes out at -6.343 eV/atom.

---

Entry from OQMD via LeMat-Bulk: a relaxed structure of RbGd2Cu3TeS4 (PBE).

abc: 4.0612 14.0302 17.3350
angles: 90.00 90.00 90.00
Closest atoms and distances in Å follow each position.
Space group Cmcm (No. 63)
Unique sites:
Rb  0.0000  0.0498  0.2500 x4  2 Cu 3.41, 2 Te 3.46, 6 S 3.53-3.54
Gd  0.0000  0.1867  0.5846 x8  5 S 2.68-2.90, 1 Te 3.00
Cu  0.0000  0.3549  0.2500 x4  2 Te 2.51, 2 S 2.72
Cu  0.0000  0.4153  0.5381 x8  4 S 2.37-2.57
Te  0.0000  0.2501  0.7500 x4  2 Cu 2.51
S  0.0000  0.1670  0.0693 x8  2 Cu 2.40, 1 Gd 2.68
S  0.0000  0.4404  0.1090 x8  2 Cu 2.37-2.57

## Properties
As for the density: 5.692 g/cm3. The value obtained for the magnetization is 0.0 μB per formula unit. The total energy comes out at -4.847 eV/atom.

---

Entry from OQMD via LeMat-Bulk: a relaxed structure of PrTcGe (PBE).

abc: 6.5103 6.5103 6.5103
angles: 90.00 90.00 90.00
Closest atoms and distances in Å follow each position.
Space group F-43m (No. 216)
Unique sites:
Pr  0.0000  0.0000  0.0000 x4  4 Ge 2.82
Tc  0.0000  0.0000  0.5000 x4  4 Ge 2.82
Ge  0.2500  0.2500  0.2500 x4  4 Pr 2.82, 4 Tc 2.82

## Properties
As for the density: 7.499 g/cm3. The value obtained for the magnetization is 0.2 μB per formula unit. The total energy comes out at -6.422 eV/atom.

---

Entry from OQMD via LeMat-Bulk: a relaxed structure of HoEr2Bi3 (PBE).

abc: 4.4321 4.4321 10.9282
angles: 90.00 90.00 120.00
Closest atoms and distances in Å follow each position.
Space group P-3m1 (No. 164)
Unique sites:
Ho  0.0000  0.0000  0.0000 x1  6 Bi 3.14
Er  0.3333  0.6667  0.3333 x2  6 Bi 3.14
Bi  0.0000  0.0000  0.5000 x1  6 Er 3.14
Bi  0.3333  0.6667  0.8332 x2  3 Er 3.14, 3 Ho 3.14

## Properties
As for the density: 10.061 g/cm3. The value obtained for the magnetization is 0.0 μB per formula unit. The total energy comes out at -5.146 eV/atom.

---

Entry from OQMD via LeMat-Bulk: a relaxed structure of Dy4Cu2SnGe4 (PBE).

abc: 15.5755 4.2480 7.1673
angles: 90.00 108.41 90.00
Closest atoms and distances in Å follow each position.
Space group C2/m (No. 12)
Unique sites:
Dy  0.0900  0.0000  0.3829 x4  6 Ge 3.02-3.13, 3 Cu 3.06
Dy  0.1507  0.0000  0.9309 x4  5 Ge 2.92-3.05, 1 Cu 3.16
Cu  0.2162  0.5000  0.6332 x4  4 Ge 2.46-2.66
Sn  0.0000  0.5000  0.0000 x2  4 Ge 2.90-3.08
Ge  0.0625  0.5000  0.6587 x4  1 Cu 2.46, 1 Ge 2.48
Ge  0.2007  0.5000  0.2522 x4  3 Cu 2.49-2.66

## Properties
As for the density: 8.756 g/cm3. The value obtained for the magnetization is 0.0 μB per formula unit. The total energy comes out at -5.088 eV/atom.

---

Entry from OQMD via LeMat-Bulk: a relaxed structure of SrGaW (PBE).

abc: 6.7627 6.7627 6.7627
angles: 90.00 90.00 90.00
Closest atoms and distances in Å follow each position.
Space group F-43m (No. 216)
Unique sites:
Sr  0.0000  0.0000  0.0000 x4  4 Ga 2.93
Ga  0.2500  0.2500  0.2500 x4  4 W 2.93, 4 Sr 2.93
W  0.0000  0.0000  0.5000 x4  4 Ga 2.93

## Properties
As for the density: 7.327 g/cm3. The value obtained for the magnetization is 2.5 μB per formula unit. The total energy comes out at -4.791 eV/atom.

---

Entry from OQMD via LeMat-Bulk: a relaxed structure of LaTaNO (PBE).

abc: 4.1104 5.4606 5.3426
angles: 90.00 90.00 90.00
Closest atoms and distances in Å follow each position.
Space group Pmc2_1 (No. 26)
Unique sites:
La  0.0000  0.2262  0.0000 x2  3 N 2.57-2.70, 4 O 2.74-2.75
Ta  0.5000  0.2913  0.5008 x2  2 N 2.06, 2 O 2.08
N  0.0000  0.3035  0.5000 x2  2 Ta 2.06
O  0.5000  0.0013  0.7523 x2  2 Ta 2.08

## Properties
As for the density: 9.689 g/cm3. The value obtained for the magnetization is 0.0 μB per formula unit. The total energy comes out at -9.266 eV/atom.

---

Entry from OQMD via LeMat-Bulk: a relaxed structure of HfIrAu (PBE).

abc: 6.2745 6.2745 6.2745
angles: 90.00 90.00 90.00
Closest atoms and distances in Å follow each position.
Space group F-43m (No. 216)
Unique sites:
Hf  0.0000  0.0000  0.0000 x4  4 Ir 2.72, 4 Au 2.72
Ir  0.2500  0.2500  0.2500 x4  4 Hf 2.72
Au  0.2500  0.2500  0.7500 x4  4 Hf 2.72

## Properties
As for the density: 15.264 g/cm3. The value obtained for the magnetization is 0.0 μB per formula unit. The total energy comes out at -7.608 eV/atom.